No. 1
## RbBaAsSe2 (PBE)

Data for crystalline RbBaAsSe2 at its relaxed geometry.

Output
Polymorph energy (0 for the lowest one): 0.0 kJ per mole of atoms
DOS at the Fermi energy: 5.20 states/eV per cell
Electronic total energy: -17.44 eV/f.u.
Formation energy from raw total energies: -0.587 eV/atom

abc: 4.8694 6.2132 6.5393
angles: 90.00 90.00 90.00
Space group Pmmm (No. 47)
Inequivalent atoms, fractional coordinates:
Rb  0.0000  0.0000  0.0000 x1
Ba  0.0000  0.5000  0.5000 x1
As  0.0000  0.5000  0.0000 x1
Se  0.5000  0.0000  0.5000 x1
Se  0.5000  0.5000  0.0000 x1

No. 2
## Rb2BaAs2Se6 (PBE)

Data for crystalline Rb2BaAs2Se6 at its relaxed geometry.

Output
DOS at the Fermi energy: 0.06 states/eV per cell
Electronic total energy: -42.19 eV/f.u.
Formation energy from raw total energies: -0.739 eV/atom

abc: 13.5663 7.7066 8.0205
angles: 90.00 100.09 90.00
Space group C2/m (No. 12)
Inequivalent atoms, fractional coordinates:
Rb  0.2154  0.0000  0.3157 x4
Ba  0.0000  0.5000  0.0000 x2
As  0.1189  0.0000  0.8187 x4
Se  0.0334  0.2429  0.6815 x8
Se  0.2175  0.5000  0.2464 x4

No. 3
## RbBaAs2Se (PBE)

Data for crystalline RbBaAs2Se at its relaxed geometry.

Output
Polymorph energy (0 for the lowest one): 0.0 kJ per mole of atoms
DOS at the Fermi energy: 5.73 states/eV per cell
Electronic total energy: -14.98 eV/f.u.
Formation energy from raw total energies: 0.138 eV/atom

abc: 6.2854 6.2854 6.1895
angles: 90.00 90.00 90.00
Space group P4/mmm (No. 123)
Inequivalent atoms, fractional coordinates:
Rb  0.0000  0.0000  0.0000 x1
Ba  0.5000  0.5000  0.5000 x1
As  0.0000  0.5000  0.5000 x2
Se  0.5000  0.5000  0.0000 x1

No. 4
## RbBaAs2Se (PBE)

Data for crystalline RbBaAs2Se at its relaxed geometry.

Output
Polymorph energy (0 for the lowest one): 23.2 kJ per mole of atoms
DOS at the Fermi energy: 6.52 states/eV per cell
Electronic total energy: -13.78 eV/f.u.
Formation energy from raw total energies: 0.378 eV/atom

abc: 5.6176 5.6176 5.9026
angles: 90.00 90.00 90.00
Space group P4/mmm (No. 123)
Inequivalent atoms, fractional coordinates:
Rb  0.0000  0.0000  0.0000 x1
Ba  0.5000  0.5000  0.5000 x1
As  0.0000  0.5000  0.0000 x2
Se  0.0000  0.0000  0.5000 x1

No. 5
## RbBa2SrAs (PBE)

Data for crystalline RbBa2SrAs at its relaxed geometry.

Output
Energy of formation: -0.439 eV/atom
DOS at the Fermi energy: 4.76 states/eV per cell
Electronic total energy: -13.34 eV/f.u.

abc: 6.6310 6.6310 6.2804
angles: 90.00 90.00 90.00
Space group P4/mmm (No. 123)
Inequivalent atoms, fractional coordinates:
Rb  0.0000  0.0000  0.0000 x1
Ba  0.0000  0.5000  0.5000 x2
Sr  0.5000  0.5000  0.0000 x1
As  0.5000  0.5000  0.5000 x1

No. 6
## RbBaSr2As (PBE)

Data for crystalline RbBaSr2As at its relaxed geometry.

Output
Energy of formation: -0.431 eV/atom
DOS at the Fermi energy: 4.79 states/eV per cell
Electronic total energy: -13.06 eV/f.u.

abc: 6.2797 6.2797 6.6243
angles: 90.00 90.00 90.00
Space group P4/mmm (No. 123)
Inequivalent atoms, fractional coordinates:
Rb  0.0000  0.0000  0.0000 x1
Ba  0.5000  0.5000  0.0000 x1
Sr  0.0000  0.5000  0.5000 x2
As  0.5000  0.5000  0.5000 x1

No. 7
## Rb2BaTlAs2 (PBE)

Data for crystalline Rb2BaTlAs2 at its relaxed geometry.

Output
Energy of formation: -0.530 eV/atom
DOS at the Fermi energy: 4.03 states/eV per cell
Electronic total energy: -18.70 eV/f.u.

abc: 4.9201 9.9061 8.8893
angles: 90.00 90.00 90.00
Space group Pmc2_1 (No. 26)
Inequivalent atoms, fractional coordinates:
Rb  0.0000  0.0863  0.0000 x2
Rb  0.5000  0.1743  0.3288 x2
Ba  0.5000  0.4489  0.9452 x2
Tl  0.0000  0.3181  0.6200 x2
As  0.0000  0.4090  0.2337 x2
As  0.5000  0.1767  0.7206 x2

No. 8
## Rb2BaZnAs (PBE)

Data for crystalline Rb2BaZnAs at its relaxed geometry.

Output
Energy of formation: -0.096 eV/atom
DOS at the Fermi energy: 5.33 states/eV per cell
Electronic total energy: -10.26 eV/f.u.

abc: 6.7809 6.7809 6.3869
angles: 90.00 90.00 90.00
Space group P4/mmm (No. 123)
Inequivalent atoms, fractional coordinates:
Rb  0.0000  0.5000  0.0000 x2
Ba  0.0000  0.0000  0.5000 x1
Zn  0.5000  0.5000  0.5000 x1
As  0.0000  0.0000  0.0000 x1

No. 9
## RbBaZrAs2 (PBE)

Data for crystalline RbBaZrAs2 at its relaxed geometry.

Output
Energy of formation: 1.275 eV/atom
DOS at the Fermi energy: 6.31 states/eV per cell
Electronic total energy: -14.36 eV/f.u.

abc: 5.7504 5.7504 5.7621
angles: 90.00 90.00 90.00
Space group P4/mmm (No. 123)
Inequivalent atoms, fractional coordinates:
Rb  0.0000  0.0000  0.0000 x1
Ba  0.0000  0.0000  0.5000 x1
Zr  0.5000  0.5000  0.5000 x1
As  0.0000  0.5000  0.0000 x2

No. 10
## BaRe3As (PBE)

Data for crystalline BaRe3As at its relaxed geometry.

Output
Energy of formation: 3.978 eV/atom
Polymorph energy (0 for the lowest one): 240.4 kJ per mole of atoms
DOS at the Fermi energy: 6.57 states/eV per cell
Electronic total energy: -24.03 eV/f.u.

abc: 5.0137 5.0137 5.0137
angles: 90.00 90.00 90.00
Space group Pm-3m (No. 221)
Inequivalent atoms, fractional coordinates:
Ba  0.0000  0.0000  0.0000 x1
Re  0.0000  0.0000  0.5000 x3
As  0.5000  0.5000  0.5000 x1

No. 11
## Ba3ReAs (PBE)

Data for crystalline Ba3ReAs at its relaxed geometry.

Output
Energy of formation: 0.445 eV/atom
Polymorph energy (0 for the lowest one): 0.0 kJ per mole of atoms
DOS at the Fermi energy: 4.54 states/eV per cell
Electronic total energy: -20.64 eV/f.u.

abc: 5.7201 5.7201 5.7201
angles: 90.00 90.00 90.00
Space group Pm-3m (No. 221)
Inequivalent atoms, fractional coordinates:
Ba  0.0000  0.0000  0.5000 x3
Re  0.0000  0.0000  0.0000 x1
As  0.5000  0.5000  0.5000 x1

No. 12
## BaReAs (PBE)

Data for crystalline BaReAs at its relaxed geometry.

Output
Energy of formation: 1.780 eV/atom
Polymorph energy (0 for the lowest one): 166.0 kJ per mole of atoms
DOS at the Fermi energy: 13.19 states/eV per cell
Electronic total energy: -13.68 eV/f.u.

abc: 7.4531 7.4531 7.4531
angles: 90.00 90.00 90.00
Space group F-43m (No. 216)
Inequivalent atoms, fractional coordinates:
Ba  0.0000  0.0000  0.0000 x4
Re  0.2500  0.2500  0.2500 x4
As  0.2500  0.2500  0.7500 x4

No. 13
## BaRe3As (PBE)

Data for crystalline BaRe3As at its relaxed geometry.

Output
Energy of formation: 1.487 eV/atom
Polymorph energy (0 for the lowest one): 0.0 kJ per mole of atoms
DOS at the Fermi energy: 4.05 states/eV per cell
Electronic total energy: -36.48 eV/f.u.

abc: 4.7711 4.7711 4.7711
angles: 90.00 90.00 90.00
Space group Pm-3m (No. 221)
Inequivalent atoms, fractional coordinates:
Ba  0.0000  0.0000  0.0000 x1
Re  0.0000  0.5000  0.5000 x3
As  0.5000  0.5000  0.5000 x1

No. 14
## BaReAs (PBE)

Data for crystalline BaReAs at its relaxed geometry.

Output
Energy of formation: 0.060 eV/atom
Polymorph energy (0 for the lowest one): 0.0 kJ per mole of atoms
DOS at the Fermi energy: 1.17 states/eV per cell
Electronic total energy: -18.84 eV/f.u.

abc: 4.2265 4.2265 5.2024
angles: 90.00 90.00 120.00
Space group P-6m2 (No. 187)
Inequivalent atoms, fractional coordinates:
Ba  0.0000  0.0000  0.0000 x1
Re  0.6667  0.3333  0.5000 x1
As  0.3333  0.6667  0.5000 x1

No. 15
## BaReAs (PBE)

Data for crystalline BaReAs at its relaxed geometry.

Output
Energy of formation: 0.153 eV/atom
Polymorph energy (0 for the lowest one): 9.0 kJ per mole of atoms
DOS at the Fermi energy: 4.29 states/eV per cell
Electronic total energy: -18.56 eV/f.u.

abc: 3.3762 3.3762 12.0948
angles: 90.00 90.00 90.00
Space group I4mm (No. 107)
Inequivalent atoms, fractional coordinates:
Ba  0.0000  0.0000  0.0000 x2
Re  0.0000  0.0000  0.7018 x2
As  0.0000  0.0000  0.2830 x2

No. 16
## BaReAs (PBE)

Data for crystalline BaReAs at its relaxed geometry.

Output
Energy of formation: 0.949 eV/atom
Polymorph energy (0 for the lowest one): 85.8 kJ per mole of atoms
DOS at the Fermi energy: 15.50 states/eV per cell
Electronic total energy: -16.17 eV/f.u.

abc: 6.6849 6.6849 6.6849
angles: 90.00 90.00 90.00
Space group F-43m (No. 216)
Inequivalent atoms, fractional coordinates:
Ba  0.0000  0.0000  0.0000 x4
Re  0.2500  0.2500  0.2500 x4
As  0.0000  0.0000  0.5000 x4

No. 17
## BaReAsRu2 (PBE)

Data for crystalline BaReAsRu2 at its relaxed geometry.

Output
Energy of formation: 3.265 eV/atom
DOS at the Fermi energy: 14.27 states/eV per cell
Electronic total energy: -21.25 eV/f.u.

abc: 4.8552 4.8552 5.3121
angles: 90.00 90.00 90.00
Space group P4/mmm (No. 123)
Inequivalent atoms, fractional coordinates:
Ba  0.0000  0.0000  0.0000 x1
Re  0.5000  0.5000  0.5000 x1
As  0.0000  0.0000  0.5000 x1
Ru  0.0000  0.5000  0.0000 x2

No. 18
## BaReAsSe2 (PBE)

Data for crystalline BaReAsSe2 at its relaxed geometry.

Output
Polymorph energy (0 for the lowest one): 0.0 kJ per mole of atoms
DOS at the Fermi energy: 3.90 states/eV per cell
Electronic total energy: -27.96 eV/f.u.
Formation energy from raw total energies: -0.395 eV/atom

abc: 5.2327 5.2327 4.7492
angles: 90.00 90.00 90.00
Space group P4/mmm (No. 123)
Inequivalent atoms, fractional coordinates:
Ba  0.0000  0.0000  0.0000 x1
Re  0.5000  0.5000  0.5000 x1
As  0.5000  0.5000  0.0000 x1
Se  0.0000  0.5000  0.5000 x2

No. 19
## BaReAsSe2 (PBE)

Data for crystalline BaReAsSe2 at its relaxed geometry.

Output
Polymorph energy (0 for the lowest one): 251.7 kJ per mole of atoms
DOS at the Fermi energy: 15.66 states/eV per cell
Electronic total energy: -14.92 eV/f.u.
Formation energy from raw total energies: 2.214 eV/atom

abc: 5.6991 5.6991 5.5888
angles: 90.00 90.00 90.00
Space group P4/mmm (No. 123)
Inequivalent atoms, fractional coordinates:
Ba  0.0000  0.0000  0.0000 x1
Re  0.5000  0.5000  0.5000 x1
As  0.0000  0.0000  0.5000 x1
Se  0.0000  0.5000  0.0000 x2

No. 20
## BaReSnAs2 (PBE)

Data for crystalline BaReSnAs2 at its relaxed geometry.

Output
Energy of formation: 0.362 eV/atom
DOS at the Fermi energy: 5.95 states/eV per cell
Electronic total energy: -25.86 eV/f.u.

abc: 4.8816 4.8816 5.9903
angles: 90.00 90.00 90.00
Space group P4/mmm (No. 123)
Inequivalent atoms, fractional coordinates:
Ba  0.0000  0.0000  0.0000 x1
Re  0.0000  0.0000  0.5000 x1
Sn  0.5000  0.5000  0.0000 x1
As  0.0000  0.5000  0.5000 x2